GGA-PBE Sr2SiPdAu6, relaxed; volume = 239.0 Å³/cell; energy relative to the elements, uncorrected = -474.0 meV per atom; space-group type = P-1, No. 2
1.0
6.4134 0.0000 0.0000
3.2012 5.7938 0.0000
3.1922 1.5241 6.4316
Sr Si Pd Au
2 1 1 6
Direct
0.2154 0.2356 0.3352
0.7846 0.7644 0.6648
0.0000 0.0000 0.0000
0.5000 0.5000 0.5000
0.2467 0.6533 0.8516
0.2573 0.2310 0.8070
0.2978 0.7695 0.1911
0.7022 0.2305 0.8089
0.7427 0.7690 0.1930
0.7533 0.3467 0.1484